Entry 1:
# KAl2Si (meta-GGA SCAN, single point on PBEsol structure)
data_KAl2Si
_chemical_formula_sum 'K1 Al2 Si1'
_cell_length_a 4.1808
_cell_length_b 5.5694
_cell_length_c 5.5694
_cell_angle_alpha 70.77
_cell_angle_beta 67.95
_cell_angle_gamma 67.95
_space_group_name_H-M_alt 'P 1'
_space_group_IT_number 1
loop_
_space_group_symop_operation_xyz
'x,y,z'
loop_
_atom_site_label
_atom_site_fract_x
_atom_site_fract_y
_atom_site_fract_z
Al1 0.0198 0.9802 0.9802
Al2 0.3224 0.1776 0.1776
K1 0.4891 0.5109 0.5109
Si1 0.6687 0.8313 0.8313
# - Theoretical density: 1.85 g/cm³
# - DOS(E_F): 2.0 states/eV per cell
# - Raw formation energy: 440 meV/atom

Entry 2:
# KAl2Si2 (meta-GGA SCAN, single point on PBEsol structure)
data_KAl2Si2
_chemical_formula_sum 'K1 Al2 Si2'
_cell_length_a 4.4518
_cell_length_b 4.4518
_cell_length_c 5.9952
_cell_angle_alpha 111.79
_cell_angle_beta 111.79
_cell_angle_gamma 90.00
_space_group_name_H-M_alt 'P 1'
_space_group_IT_number 1
loop_
_space_group_symop_operation_xyz
'x,y,z'
loop_
_atom_site_label
_atom_site_fract_x
_atom_site_fract_y
_atom_site_fract_z
K1 0.0000 0.0000 0.0000
Si1 0.3785 0.3785 0.7570
Si2 0.6215 0.6215 0.2430
Al1 0.2500 0.7500 0.5000
Al2 0.7500 0.2500 0.5000
# - Theoretical density: 2.45 g/cm³
# - DOS(E_F): 1.4 states/eV per cell
# - Raw formation energy: -18 meV/atom

Entry 3:
# KTi2AlSi (meta-GGA SCAN, single point on PBEsol structure)
data_KTi2AlSi
_chemical_formula_sum 'K1 Ti2 Al1 Si1'
_cell_length_a 4.7721
_cell_length_b 4.9438
_cell_length_c 4.9438
_cell_angle_alpha 90.00
_cell_angle_beta 90.00
_cell_angle_gamma 90.00
_space_group_name_H-M_alt 'P 1'
_space_group_IT_number 1
loop_
_space_group_symop_operation_xyz
'x,y,z'
loop_
_atom_site_label
_atom_site_fract_x
_atom_site_fract_y
_atom_site_fract_z
Al1 0.0000 0.0000 0.0000
K1 0.5000 0.5000 0.5000
Ti1 0.0000 0.0000 0.5000
Ti2 0.0000 0.5000 0.0000
Si1 0.5000 0.0000 0.0000
# - Theoretical density: 2.70 g/cm³
# - DOS(E_F): 3.6 states/eV per cell
# - Raw formation energy: 910 meV/atom

Entry 4:
# KAl2Sn2 (meta-GGA SCAN, single point on PBEsol structure)
data_KAl2Sn2
_chemical_formula_sum 'K1 Al2 Sn2'
_cell_length_a 4.8283
_cell_length_b 4.8283
_cell_length_c 6.6744
_cell_angle_alpha 111.20
_cell_angle_beta 111.20
_cell_angle_gamma 90.00
_space_group_name_H-M_alt 'P 1'
_space_group_IT_number 1
loop_
_space_group_symop_operation_xyz
'x,y,z'
loop_
_atom_site_label
_atom_site_fract_x
_atom_site_fract_y
_atom_site_fract_z
Sn1 0.6274 0.6274 0.2548
Sn2 0.3726 0.3726 0.7452
K1 0.0000 0.0000 0.0000
Al1 0.2500 0.7500 0.5000
Al2 0.7500 0.2500 0.5000
# - Theoretical density: 4.10 g/cm³
# - DOS(E_F): 1.6 states/eV per cell
# - ΔH_f (0 K): -0.099 eV/atom

Entry 5:
# K2SrAl (meta-GGA SCAN, single point on PBEsol structure)
data_K2SrAl
_chemical_formula_sum 'K2 Sr1 Al1'
_cell_length_a 4.4419
_cell_length_b 5.6163
_cell_length_c 6.5768
_cell_angle_alpha 90.00
_cell_angle_beta 90.00
_cell_angle_gamma 90.00
_space_group_name_H-M_alt 'P 1'
_space_group_IT_number 1
loop_
_space_group_symop_operation_xyz
'x,y,z'
loop_
_atom_site_label
_atom_site_fract_x
_atom_site_fract_y
_atom_site_fract_z
K1 0.5000 0.5000 0.0000
K2 0.0000 0.0000 0.0000
Al1 0.0000 0.5000 0.5000
Sr1 0.5000 0.0000 0.5000
# - Theoretical density: 1.95 g/cm³
# - DOS(E_F): 3.8 states/eV per cell
# - ΔH_f (0 K): 0.265 eV/atom

Entry 6:
# K2SrAl (meta-GGA SCAN, single point on PBEsol structure)
data_K2SrAl
_chemical_formula_sum 'K2 Sr1 Al1'
_cell_length_a 4.1258
_cell_length_b 5.9272
_cell_length_c 7.6586
_cell_angle_alpha 111.81
_cell_angle_beta 104.31
_cell_angle_gamma 93.29
_space_group_name_H-M_alt 'P 1'
_space_group_IT_number 1
loop_
_space_group_symop_operation_xyz
'x,y,z'
loop_
_atom_site_label
_atom_site_fract_x
_atom_site_fract_y
_atom_site_fract_z
Al1 0.0000 0.5000 0.0000
K1 0.0000 0.0000 0.5000
K2 0.5000 0.5000 0.5000
Sr1 0.5000 0.0000 0.0000
# - Theoretical density: 1.93 g/cm³
# - DOS(E_F): 2.8 states/eV per cell
# - ΔH_f (0 K): 0.311 eV/atom

Entry 7:
# KSr2Al (meta-GGA SCAN, single point on PBEsol structure)
data_KSr2Al
_chemical_formula_sum 'K1 Sr2 Al1'
_cell_length_a 3.9645
_cell_length_b 3.9645
_cell_length_c 11.0358
_cell_angle_alpha 90.00
_cell_angle_beta 90.00
_cell_angle_gamma 90.00
_space_group_name_H-M_alt 'P 1'
_space_group_IT_number 1
loop_
_space_group_symop_operation_xyz
'x,y,z'
loop_
_atom_site_label
_atom_site_fract_x
_atom_site_fract_y
_atom_site_fract_z
Sr1 0.0000 0.0000 0.6692
Sr2 0.0000 0.0000 0.3308
Al1 0.5000 0.5000 0.5000
K1 0.5000 0.5000 0.0000
# - Theoretical density: 2.31 g/cm³
# - DOS(E_F): 2.6 states/eV per cell
# - ΔH_f (0 K): -0.019 eV/atom

Entry 8:
# KSr2Al (meta-GGA SCAN, single point on PBEsol structure)
data_KSr2Al
_chemical_formula_sum 'K1 Sr2 Al1'
_cell_length_a 5.9784
_cell_length_b 5.9784
_cell_length_c 5.9784
_cell_angle_alpha 60.00
_cell_angle_beta 60.00
_cell_angle_gamma 60.00
_space_group_name_H-M_alt 'P 1'
_space_group_IT_number 1
loop_
_space_group_symop_operation_xyz
'x,y,z'
loop_
_atom_site_label
_atom_site_fract_x
_atom_site_fract_y
_atom_site_fract_z
Sr1 0.0000 0.0000 0.0000
Sr2 0.7500 0.7500 0.7500
K1 0.2500 0.2500 0.2500
Al1 0.5000 0.5000 0.5000
# - Theoretical density: 2.65 g/cm³
# - DOS(E_F): 2.0 states/eV per cell
# - ΔH_f (0 K): 0.239 eV/atom

Entry 9:
# KSrAl (meta-GGA SCAN, single point on PBEsol structure)
data_KSrAl
_chemical_formula_sum 'K1 Sr1 Al1'
_cell_length_a 3.6018
_cell_length_b 5.7365
_cell_length_c 5.7365
_cell_angle_alpha 120.00
_cell_angle_beta 90.00
_cell_angle_gamma 90.00
_space_group_name_H-M_alt 'P 1'
_space_group_IT_number 1
loop_
_space_group_symop_operation_xyz
'x,y,z'
loop_
_atom_site_label
_atom_site_fract_x
_atom_site_fract_y
_atom_site_fract_z
Sr1 0.3885 0.6667 0.3333
K1 0.6326 0.3333 0.6667
Al1 0.9790 0.0000 0.0000
# - Theoretical density: 2.49 g/cm³
# - DOS(E_F): 3.6 states/eV per cell
# - ΔH_f (0 K): 0.286 eV/atom

Entry 10:
# K2TaAl (meta-GGA SCAN, single point on PBEsol structure)
data_K2TaAl
_chemical_formula_sum 'K2 Ta1 Al1'
_cell_length_a 4.0715
_cell_length_b 4.0715
_cell_length_c 6.6496
_cell_angle_alpha 107.83
_cell_angle_beta 107.83
_cell_angle_gamma 90.00
_space_group_name_H-M_alt 'P 1'
_space_group_IT_number 1
loop_
_space_group_symop_operation_xyz
'x,y,z'
loop_
_atom_site_label
_atom_site_fract_x
_atom_site_fract_y
_atom_site_fract_z
Al1 0.0000 0.0000 0.0000
K1 0.2500 0.7500 0.5000
K2 0.7500 0.2500 0.5000
Ta1 0.5000 0.5000 0.0000
# - Theoretical density: 4.78 g/cm³
# - DOS(E_F): 1.0 states/eV per cell
# - ΔH_f (0 K): 1.088 eV/atom

Entry 11:
# K2TaAl (meta-GGA SCAN, single point on PBEsol structure)
data_K2TaAl
_chemical_formula_sum 'K2 Ta1 Al1'
_cell_length_a 3.2718
_cell_length_b 4.2193
_cell_length_c 10.5882
_cell_angle_alpha 101.24
_cell_angle_beta 98.89
_cell_angle_gamma 90.00
_space_group_name_H-M_alt 'P 1'
_space_group_IT_number 1
loop_
_space_group_symop_operation_xyz
'x,y,z'
loop_
_atom_site_label
_atom_site_fract_x
_atom_site_fract_y
_atom_site_fract_z
Al1 0.5000 0.0000 0.0000
K1 0.1488 0.1443 0.2976
K2 0.8512 0.8557 0.7024
Ta1 0.0000 0.5000 0.0000
# - Theoretical density: 3.36 g/cm³
# - DOS(E_F): 3.1 states/eV per cell
# - ΔH_f (0 K): 0.672 eV/atom

Entry 12:
# K2TaAl (meta-GGA SCAN, single point on PBEsol structure)
data_K2TaAl
_chemical_formula_sum 'K2 Ta1 Al1'
_cell_length_a 3.1339
_cell_length_b 3.1339
_cell_length_c 12.5532
_cell_angle_alpha 82.83
_cell_angle_beta 82.83
_cell_angle_gamma 60.00
_space_group_name_H-M_alt 'P 1'
_space_group_IT_number 1
loop_
_space_group_symop_operation_xyz
'x,y,z'
loop_
_atom_site_label
_atom_site_fract_x
_atom_site_fract_y
_atom_site_fract_z
K1 0.7628 0.7628 0.7116
K2 0.9854 0.9854 0.0437
Ta1 0.5134 0.5134 0.4599
Al1 0.2384 0.2384 0.2847
# - Theoretical density: 4.50 g/cm³
# - DOS(E_F): 2.4 states/eV per cell
# - ΔH_f (0 K): 0.799 eV/atom

Entry 13:
# KTaAl2 (meta-GGA SCAN, single point on PBEsol structure)
data_KTaAl2
_chemical_formula_sum 'K1 Ta1 Al2'
_cell_length_a 2.8678
_cell_length_b 2.8678
_cell_length_c 10.0430
_cell_angle_alpha 90.00
_cell_angle_beta 90.00
_cell_angle_gamma 90.00
_space_group_name_H-M_alt 'P 1'
_space_group_IT_number 1
loop_
_space_group_symop_operation_xyz
'x,y,z'
loop_
_atom_site_label
_atom_site_fract_x
_atom_site_fract_y
_atom_site_fract_z
Al1 0.5000 0.5000 0.2021
Al2 0.0000 0.0000 0.9996
K1 0.0000 0.0000 0.4909
Ta1 0.5000 0.5000 0.8074
# - Theoretical density: 5.51 g/cm³
# - DOS(E_F): 1.1 states/eV per cell
# - ΔH_f (0 K): 0.381 eV/atom

Entry 14:
# KAlZn2Tc (meta-GGA SCAN, single point on PBEsol structure)
data_KAlZn2Tc
_chemical_formula_sum 'K1 Al1 Zn2 Tc1'
_cell_length_a 4.7747
_cell_length_b 4.8660
_cell_length_c 4.8660
_cell_angle_alpha 90.00
_cell_angle_beta 90.00
_cell_angle_gamma 90.00
_space_group_name_H-M_alt 'P 1'
_space_group_IT_number 1
loop_
_space_group_symop_operation_xyz
'x,y,z'
loop_
_atom_site_label
_atom_site_fract_x
_atom_site_fract_y
_atom_site_fract_z
Al1 0.0000 0.0000 0.0000
Zn1 0.0000 0.5000 0.0000
Zn2 0.0000 0.0000 0.5000
K1 0.5000 0.5000 0.5000
Tc1 0.5000 0.0000 0.0000
# - Theoretical density: 4.33 g/cm³
# - DOS(E_F): 2.0 states/eV per cell
# - ΔH_f (0 K): 0.750 eV/atom

Entry 15:
# KAl2Te (meta-GGA SCAN, single point on PBEsol structure)
data_KAl2Te
_chemical_formula_sum 'K1 Al2 Te1'
_cell_length_a 3.7765
_cell_length_b 3.7765
_cell_length_c 7.3895
_cell_angle_alpha 90.00
_cell_angle_beta 90.00
_cell_angle_gamma 90.00
_space_group_name_H-M_alt 'P 1'
_space_group_IT_number 1
loop_
_space_group_symop_operation_xyz
'x,y,z'
loop_
_atom_site_label
_atom_site_fract_x
_atom_site_fract_y
_atom_site_fract_z
Al1 0.0000 0.0000 0.0157
Al2 0.5000 0.5000 0.1780
Te1 0.5000 0.5000 0.8123
K1 0.0000 0.0000 0.4941
# - Theoretical density: 3.48 g/cm³
# - DOS(E_F): 0.8 states/eV per cell
# - Raw formation energy: -121 meV/atom

Entry 16:
# K2AlTe (meta-GGA SCAN, single point on PBEsol structure)
data_K2AlTe
_chemical_formula_sum 'K4 Al2 Te2'
_cell_length_a 5.0542
_cell_length_b 5.0542
_cell_length_c 12.0922
_cell_angle_alpha 102.06
_cell_angle_beta 102.06
_cell_angle_gamma 90.00
_space_group_name_H-M_alt 'P 1'
_space_group_IT_number 1
loop_
_space_group_symop_operation_xyz
'x,y,z'
loop_
_atom_site_label
_atom_site_fract_x
_atom_site_fract_y
_atom_site_fract_z
K1 0.3608 0.8750 0.2500
K2 0.1250 0.1108 0.7500
K3 0.8892 0.3750 0.2500
K4 0.6250 0.6392 0.7500
Te1 0.0000 0.0000 0.0000
Te2 0.2500 0.7500 0.5000
Al1 0.5000 0.5000 0.0000
Al2 0.7500 0.2500 0.5000
# - Theoretical density: 2.62 g/cm³
# - DOS(E_F): 0.4 states/eV per cell
# - Raw formation energy: -67 meV/atom

Entry 17:
# KAlTe2 (meta-GGA SCAN, single point on PBEsol structure)
data_KAlTe2
_chemical_formula_sum 'K1 Al1 Te2'
_cell_length_a 3.7453
_cell_length_b 3.9443
_cell_length_c 8.6691
_cell_angle_alpha 103.15
_cell_angle_beta 102.48
_cell_angle_gamma 90.00
_space_group_name_H-M_alt 'P 1'
_space_group_IT_number 1
loop_
_space_group_symop_operation_xyz
'x,y,z'
loop_
_atom_site_label
_atom_site_fract_x
_atom_site_fract_y
_atom_site_fract_z
Te1 0.0232 0.0229 0.0464
Te2 0.8283 0.3286 0.6566
K1 0.1978 0.6980 0.3956
Al1 0.4507 0.4506 0.9013
# - Theoretical density: 4.39 g/cm³
# - DOS(E_F): 1.8 states/eV per cell
# - Raw formation energy: -486 meV/atom

Entry 18:
# KAlTe2 (meta-GGA SCAN, single point on PBEsol structure)
data_KAlTe2
_chemical_formula_sum 'K2 Al2 Te4'
_cell_length_a 6.9010
_cell_length_b 6.9277
_cell_length_c 6.9277
_cell_angle_alpha 75.64
_cell_angle_beta 60.13
_cell_angle_gamma 60.13
_space_group_name_H-M_alt 'P 1'
_space_group_IT_number 1
loop_
_space_group_symop_operation_xyz
'x,y,z'
loop_
_atom_site_label
_atom_site_fract_x
_atom_site_fract_y
_atom_site_fract_z
Al1 0.7500 0.5000 0.5000
Al2 0.2500 0.5000 0.5000
K1 0.2500 0.0000 0.0000
K2 0.7500 0.0000 0.0000
Te1 0.1677 0.5000 0.1646
Te2 0.8323 0.5000 0.8354
Te3 0.3323 0.8354 0.5000
Te4 0.6677 0.1646 0.5000
# - Theoretical density: 4.28 g/cm³
# - DOS(E_F): 0.0 states/eV per cell
# - Raw formation energy: -903 meV/atom

Entry 19:
# KAlTe2 (meta-GGA SCAN, single point on PBEsol structure)
data_KAlTe2
_chemical_formula_sum 'K1 Al1 Te2'
_cell_length_a 4.2068
_cell_length_b 4.2608
_cell_length_c 7.9813
_cell_angle_alpha 90.00
_cell_angle_beta 105.28
_cell_angle_gamma 90.00
_space_group_name_H-M_alt 'P 1'
_space_group_IT_number 1
loop_
_space_group_symop_operation_xyz
'x,y,z'
loop_
_atom_site_label
_atom_site_fract_x
_atom_site_fract_y
_atom_site_fract_z
Te1 0.2160 0.5000 0.4320
Te2 0.9214 0.0000 0.8428
Al1 0.3153 0.0000 0.6306
K1 0.5400 0.5000 0.0801
# - Theoretical density: 3.87 g/cm³
# - Raw formation energy: -815 meV/atom

Entry 20:
# KAlTe2 (meta-GGA SCAN, single point on PBEsol structure)
data_KAlTe2
_chemical_formula_sum 'K1 Al1 Te2'
_cell_length_a 3.9740
_cell_length_b 4.5573
_cell_length_c 9.0228
_cell_angle_alpha 90.00
_cell_angle_beta 90.00
_cell_angle_gamma 115.85
_space_group_name_H-M_alt 'P 1'
_space_group_IT_number 1
loop_
_space_group_symop_operation_xyz
'x,y,z'
loop_
_atom_site_label
_atom_site_fract_x
_atom_site_fract_y
_atom_site_fract_z
Te1 0.0000 0.0000 0.7003
Te2 0.0000 0.0000 0.2997
K1 0.5000 0.0000 0.0000
Al1 0.5000 0.0000 0.5000
# - Theoretical density: 3.63 g/cm³
# - Raw formation energy: -471 meV/atom